(1)
DFT (PBE) results for crystalline LaScTlPd at its relaxed geometry.

Cell and atoms, written as POSCAR:
```
LaScTlPd
1.0
0.000 3.675 3.675
3.675 0.000 3.675
3.675 3.675 0.000
La Sc Tl Pd
1 1 1 1
direct
0.000 0.000 0.000
0.500 0.500 0.500
0.750 0.750 0.750
0.250 0.250 0.250
```

Properties
Formation energy from the elements = -448 meV per atom
Density of states at the Fermi level = 3.8 states/eV/cell
Spin magnetization = 0.0 μB per cell

=====

(2)
DFT (PBE) results for crystalline La2YScPd at its relaxed geometry.

Cell and atoms, written as POSCAR:
```
La2YScPd
1.0
5.618 0.000 0.000
0.000 5.618 0.000
0.000 0.000 5.583
La Y Sc Pd
2 1 1 1
direct
0.000 0.500 0.000
0.500 0.000 0.000
0.000 0.000 0.500
0.500 0.500 0.500
0.000 0.000 0.000
```

Properties
Formation energy from the elements = -2 meV per atom
Density of states at the Fermi level = 8.8 states/eV/cell
Spin magnetization = 2.1 μB per cell

=====

(3)
DFT (PBE) results for crystalline LaSc2ZnPd4 at its relaxed geometry.

Cell and atoms, written as POSCAR:
```
LaSc2ZnPd4
1.0
2.272 1.312 8.815
-2.272 1.312 8.815
0.000 -2.624 8.815
La Sc Zn Pd
1 2 1 4
direct
0.000 0.000 0.000
0.234 0.234 0.234
0.766 0.766 0.766
0.500 0.500 0.500
0.131 0.131 0.131
0.400 0.400 0.400
0.600 0.600 0.600
0.869 0.869 0.869
```

Properties
Formation energy from the elements = -767 meV per atom
Density of states at the Fermi level = 3.9 states/eV/cell
Spin magnetization = 0.0 μB per cell

=====

(4)
DFT (PBE) results for crystalline La2ScZnPd6 at its relaxed geometry.

Cell and atoms, written as POSCAR:
```
La2ScZnPd6
1.0
4.957 -2.861 0.000
4.957 2.861 0.000
-3.300 0.000 8.088
La Sc Zn Pd
2 1 1 6
direct
0.215 0.215 0.147
0.785 0.785 0.853
0.000 0.000 0.500
0.500 0.500 0.000
0.245 0.746 0.239
0.254 0.254 0.761
0.254 0.755 0.761
0.746 0.245 0.239
0.746 0.746 0.239
0.755 0.254 0.761
```

Properties
Formation energy from the elements = -599 meV per atom
Density of states at the Fermi level = 3.8 states/eV/cell
Spin magnetization = 0.0 μB per cell

=====

(5)
DFT (PBE) results for crystalline La2ZrScPd at its relaxed geometry.

Cell and atoms, written as POSCAR:
```
La2ZrScPd
1.0
5.642 0.000 0.000
0.000 5.642 0.000
0.000 0.000 5.053
La Zr Sc Pd
2 1 1 1
direct
0.000 0.500 0.000
0.500 0.000 0.000
0.000 0.000 0.000
0.000 0.000 0.500
0.500 0.500 0.500
```

Properties
Formation energy from the elements = 595 meV per atom
Density of states at the Fermi level = 3.7 states/eV/cell
Spin magnetization = 0.0 μB per cell

=====

(6)
DFT (PBE) results for crystalline La6PdSe5 at its relaxed geometry.

Cell and atoms, written as POSCAR:
```
La6PdSe5
1.0
3.745 -6.469 0.000
3.745 6.469 0.000
-2.500 0.000 7.049
La Pd Se
6 1 5
direct
0.082 0.414 0.248
0.249 0.249 0.749
0.414 0.082 0.248
0.586 0.918 0.752
0.751 0.751 0.251
0.918 0.586 0.752
0.000 0.000 0.000
0.169 0.831 0.500
0.334 0.666 0.000
0.500 0.500 0.500
0.666 0.334 0.000
0.831 0.169 0.500
```

Properties
Raw formation energy = -1.7855 eV/atom
Density of states at the Fermi level = 6.6 states/eV/cell
Spin magnetization = 0.0 μB per cell